i) The following is a GGA-PBE calculation of a relaxed structure of LiBeAu6, from the Alexandria database.

abc: 4.849 5.348 5.804
angles: 68.09 81.72 89.12
Positions (direct):
Li1 0.000 0.000 0.000
Be1 0.500 0.500 0.500
Au1 0.090 0.277 0.449
Au2 0.274 0.461 0.893
Au3 0.476 0.970 0.259
Au4 0.524 0.030 0.741
Au5 0.726 0.539 0.107
Au6 0.910 0.723 0.551

---

ii) The following is a GGA-PBE calculation of a relaxed structure of LiBeAu6, from the Alexandria database.

abc: 4.004 5.752 5.752
angles: 85.96 90.00 90.00
Positions (direct):
Li1 0.000 0.000 0.000
Be1 0.000 0.578 0.578
Au1 0.000 0.002 0.498
Au2 0.000 0.498 0.002
Au3 0.500 0.198 0.198
Au4 0.500 0.310 0.683
Au5 0.500 0.683 0.310
Au6 0.500 0.802 0.802

---

Which is most stable, and by how much? ii), by 1.9 kJ/mol of atoms.

---

i) The following is a GGA-PBE calculation of a relaxed structure of Li5Be2Au12, from the Alexandria database.

abc: 8.299 8.299 7.423
angles: 107.18 107.18 40.48
Positions (direct):
Li1 0.000 0.000 0.000
Li2 0.249 0.249 0.004
Li3 0.249 0.249 0.495
Li4 0.751 0.751 0.505
Li5 0.751 0.751 0.996
Be1 0.311 0.689 0.500
Be2 0.689 0.311 0.500
Au1 0.052 0.052 0.363
Au2 0.097 0.595 0.298
Au3 0.106 0.591 0.830
Au4 0.405 0.903 0.702
Au5 0.409 0.894 0.170
Au6 0.489 0.489 0.198
Au7 0.511 0.511 0.802
Au8 0.591 0.106 0.830
Au9 0.595 0.097 0.298
Au10 0.894 0.409 0.170
Au11 0.903 0.405 0.702
Au12 0.948 0.948 0.637

---

ii) The following is a GGA-PBE calculation of a relaxed structure of Li5Be2Au12, from the Alexandria database.

abc: 7.263 7.263 6.801
angles: 97.13 97.13 62.25
Positions (direct):
Li1 0.000 0.000 0.000
Li2 0.245 0.245 0.083
Li3 0.314 0.314 0.543
Li4 0.686 0.686 0.457
Li5 0.755 0.755 0.917
Be1 0.243 0.757 0.500
Be2 0.757 0.243 0.500
Au1 0.023 0.648 0.270
Au2 0.099 0.099 0.366
Au3 0.187 0.590 0.893
Au4 0.352 0.977 0.730
Au5 0.410 0.813 0.107
Au6 0.460 0.460 0.286
Au7 0.540 0.540 0.714
Au8 0.590 0.187 0.893
Au9 0.648 0.023 0.270
Au10 0.813 0.410 0.107
Au11 0.901 0.901 0.634
Au12 0.977 0.352 0.730

---

Which is most stable, and by how much? ii), by 4.4 kJ/mol of atoms.

---

i) The following is a GGA-PBE calculation of a relaxed structure of LiBe6Au6, from the Alexandria database.

abc: 6.435 6.435 6.435
angles: 135.60 99.05 97.37
Positions (direct):
Li1 0.000 0.000 0.000
Be1 0.000 0.000 0.500
Be2 0.000 0.500 0.000
Be3 0.239 0.500 0.739
Be4 0.500 0.000 0.000
Be5 0.500 0.500 0.500
Be6 0.761 0.500 0.261
Au1 0.166 0.666 0.500
Au2 0.323 0.000 0.323
Au3 0.336 0.336 0.000
Au4 0.664 0.664 0.000
Au5 0.677 0.000 0.677
Au6 0.834 0.334 0.500

---

ii) The following is a GGA-PBE calculation of a relaxed structure of LiBe6Au6, from the Alexandria database.

abc: 4.884 4.884 8.346
angles: 90.00 90.00 120.00
Positions (direct):
Li1 0.000 0.000 0.000
Be1 0.000 0.500 0.244
Be2 0.000 0.500 0.756
Be3 0.500 0.000 0.244
Be4 0.500 0.000 0.756
Be5 0.500 0.500 0.244
Be6 0.500 0.500 0.756
Au1 0.000 0.000 0.322
Au2 0.000 0.000 0.678
Au3 0.333 0.667 0.000
Au4 0.333 0.667 0.500
Au5 0.667 0.333 0.000
Au6 0.667 0.333 0.500

---

Which is most stable, and by how much? ii), by 0.6 kJ/mol of atoms.